Rb2Co4O7: relaxed, PBE with a Hubbard U.

Output
* total DFT energy (no corrections): -70.1 eV/cell

a = 5.080 Å, b = 5.080 Å, c = 6.808 Å
α = 90.45°, β = 90.45°, γ = 119.73°
Site moments in Bohr magnetons follow the coordinates.
Fractional positions:
Co 0.999 0.999 0.277  2.94
Co 0.668 0.332 0.500  0.20
Co 0.332 0.668 0.500  0.20
Co 0.001 0.001 0.723  2.94
O 0.000 0.000 0.000  0.32
O 0.997 0.639 0.348  0.18
O 0.639 0.997 0.348  0.18
O 0.356 0.356 0.348  0.20
O 0.644 0.644 0.652  0.20
O 0.361 0.003 0.652  0.18
O 0.003 0.361 0.652  0.18
Rb 0.667 0.333 0.000  0.00
Rb 0.333 0.667 0.000  0.00